Entry i
Entry from Alexandria: TcAs after structural relaxation (PBE).

Cell and atoms, written as CIF:
```
data_TcAs
_symmetry_space_group_name_H-M 'P 1'
_symmetry_Int_Tables_number 1
_cell_length_a 7.567
_cell_length_b 7.567
_cell_length_c 7.567
_cell_angle_alpha 90.00
_cell_angle_beta 90.00
_cell_angle_gamma 90.00
loop_
_symmetry_equiv_pos_as_xyz
'x,y,z'
loop_
_atom_site_label
_atom_site_type_symbol
_atom_site_fract_x
_atom_site_fract_y
_atom_site_fract_z
_atom_site_occupancy
Tc1 Tc 0.372 0.372 0.372 1
Tc2 Tc 0.372 0.628 0.628 1
Tc3 Tc 0.628 0.372 0.628 1
Tc4 Tc 0.628 0.628 0.372 1
Tc5 Tc 0.872 0.872 0.872 1
Tc6 Tc 0.872 0.128 0.128 1
Tc7 Tc 0.128 0.872 0.128 1
Tc8 Tc 0.128 0.128 0.872 1
As1 As 0.185 0.185 0.185 1
As2 As 0.185 0.815 0.815 1
As3 As 0.815 0.185 0.815 1
As4 As 0.815 0.815 0.185 1
As5 As 0.685 0.685 0.685 1
As6 As 0.685 0.315 0.315 1
As7 As 0.315 0.685 0.315 1
As8 As 0.315 0.315 0.685 1
```

Output
Space-group type: No. 217
Total magnetic moment: 0.000 μB/cell

Entry ii
Entry from Alexandria: TcAs after structural relaxation (PBE).

Cell and atoms, written as CIF:
```
data_TcAs
_symmetry_space_group_name_H-M 'P 1'
_symmetry_Int_Tables_number 1
_cell_length_a 9.229
_cell_length_b 9.229
_cell_length_c 3.120
_cell_angle_alpha 90.00
_cell_angle_beta 90.00
_cell_angle_gamma 120.00
loop_
_symmetry_equiv_pos_as_xyz
'x,y,z'
loop_
_atom_site_label
_atom_site_type_symbol
_atom_site_fract_x
_atom_site_fract_y
_atom_site_fract_z
_atom_site_occupancy
Tc1 Tc 0.862 0.367 0.250 1
Tc2 Tc 0.495 0.862 0.750 1
Tc3 Tc 0.633 0.495 0.250 1
Tc4 Tc 0.138 0.633 0.750 1
Tc5 Tc 0.505 0.138 0.250 1
Tc6 Tc 0.367 0.505 0.750 1
As1 As 0.715 0.049 0.250 1
As2 As 0.666 0.715 0.750 1
As3 As 0.951 0.666 0.250 1
As4 As 0.285 0.951 0.750 1
As5 As 0.334 0.285 0.250 1
As6 As 0.049 0.334 0.750 1
```

Output
Space-group type: No. 176
Total magnetic moment: 0.000 μB/cell

Which structure loses on stability? entry i does.

Entry i
Entry from Alexandria: TcAs after structural relaxation (PBE).

Cell and atoms, written as CIF:
```
data_TcAs
_symmetry_space_group_name_H-M 'P 1'
_symmetry_Int_Tables_number 1
_cell_length_a 4.664
_cell_length_b 5.595
_cell_length_c 3.117
_cell_angle_alpha 73.83
_cell_angle_beta 70.48
_cell_angle_gamma 52.03
loop_
_symmetry_equiv_pos_as_xyz
'x,y,z'
loop_
_atom_site_label
_atom_site_type_symbol
_atom_site_fract_x
_atom_site_fract_y
_atom_site_fract_z
_atom_site_occupancy
As1 As 0.049 0.969 0.991 1
As2 As 0.868 0.614 0.759 1
Tc1 Tc 0.508 0.495 0.498 1
Tc2 Tc 0.408 0.088 0.252 1
```

Output
Space-group type: No. 12
Total magnetic moment: 0.000 μB/cell

Entry ii
Entry from Alexandria: TcAs after structural relaxation (PBE).

Cell and atoms, written as CIF:
```
data_TcAs
_symmetry_space_group_name_H-M 'P 1'
_symmetry_Int_Tables_number 1
_cell_length_a 5.458
_cell_length_b 5.458
_cell_length_c 5.458
_cell_angle_alpha 147.28
_cell_angle_beta 135.39
_cell_angle_gamma 56.41
loop_
_symmetry_equiv_pos_as_xyz
'x,y,z'
loop_
_atom_site_label
_atom_site_type_symbol
_atom_site_fract_x
_atom_site_fract_y
_atom_site_fract_z
_atom_site_occupancy
As1 As 0.638 0.888 0.250 1
As2 As 0.362 0.112 0.750 1
Tc1 Tc 0.135 0.385 0.250 1
Tc2 Tc 0.865 0.615 0.750 1
```

Output
Space-group type: No. 74
Total magnetic moment: 0.000 μB/cell

Entry iii
Entry from Alexandria: TcAs after structural relaxation (PBE).

Cell and atoms, written as CIF:
```
data_TcAs
_symmetry_space_group_name_H-M 'P 1'
_symmetry_Int_Tables_number 1
_cell_length_a 3.955
_cell_length_b 8.826
_cell_length_c 5.825
_cell_angle_alpha 90.00
_cell_angle_beta 90.00
_cell_angle_gamma 90.00
loop_
_symmetry_equiv_pos_as_xyz
'x,y,z'
loop_
_atom_site_label
_atom_site_type_symbol
_atom_site_fract_x
_atom_site_fract_y
_atom_site_fract_z
_atom_site_occupancy
Tc1 Tc 0.000 0.267 0.973 1
Tc2 Tc 0.000 0.733 0.973 1
Tc3 Tc 0.000 0.767 0.473 1
Tc4 Tc 0.000 0.233 0.473 1
Tc5 Tc 0.500 0.000 0.414 1
Tc6 Tc 0.500 0.500 0.914 1
As1 As 0.500 0.828 0.741 1
As2 As 0.500 0.172 0.741 1
As3 As 0.500 0.328 0.241 1
As4 As 0.500 0.672 0.241 1
As5 As 0.000 0.000 0.160 1
As6 As 0.000 0.500 0.660 1
```

Output
Space-group type: No. 38
Total magnetic moment: 0.000 μB/cell

Which structure loses on stability? entry ii does.

Entry i
Entry from Alexandria: TcAs after structural relaxation (PBE).

Cell and atoms, written as CIF:
```
data_TcAs
_symmetry_space_group_name_H-M 'P 1'
_symmetry_Int_Tables_number 1
_cell_length_a 2.937
_cell_length_b 2.937
_cell_length_c 7.894
_cell_angle_alpha 90.00
_cell_angle_beta 90.00
_cell_angle_gamma 90.00
loop_
_symmetry_equiv_pos_as_xyz
'x,y,z'
loop_
_atom_site_label
_atom_site_type_symbol
_atom_site_fract_x
_atom_site_fract_y
_atom_site_fract_z
_atom_site_occupancy
As1 As 0.250 0.250 0.183 1
As2 As 0.750 0.750 0.817 1
Tc1 Tc 0.250 0.250 0.609 1
Tc2 Tc 0.750 0.750 0.391 1
```

Output
Space-group type: No. 129
Total magnetic moment: 0.000 μB/cell

Entry ii
Entry from Alexandria: TcAs after structural relaxation (PBE).

Cell and atoms, written as CIF:
```
data_TcAs
_symmetry_space_group_name_H-M 'P 1'
_symmetry_Int_Tables_number 1
_cell_length_a 5.909
_cell_length_b 5.909
_cell_length_c 4.614
_cell_angle_alpha 90.00
_cell_angle_beta 90.00
_cell_angle_gamma 90.00
loop_
_symmetry_equiv_pos_as_xyz
'x,y,z'
loop_
_atom_site_label
_atom_site_type_symbol
_atom_site_fract_x
_atom_site_fract_y
_atom_site_fract_z
_atom_site_occupancy
Tc1 Tc 0.829 0.829 0.000 1
Tc2 Tc 0.329 0.671 0.500 1
Tc3 Tc 0.671 0.329 0.500 1
Tc4 Tc 0.171 0.171 0.000 1
As1 As 0.768 0.232 0.000 1
As2 As 0.268 0.268 0.500 1
As3 As 0.732 0.732 0.500 1
As4 As 0.232 0.768 0.000 1
```

Output
Space-group type: No. 136
Total magnetic moment: 0.424 μB/cell

Which structure loses on stability? entry ii does.

Entry i
Entry from Alexandria: Tc3As after structural relaxation (PBE).

Cell and atoms, written as CIF:
```
data_Tc3As
_symmetry_space_group_name_H-M 'P 1'
_symmetry_Int_Tables_number 1
_cell_length_a 4.905
_cell_length_b 4.905
_cell_length_c 4.905
_cell_angle_alpha 90.00
_cell_angle_beta 90.00
_cell_angle_gamma 90.00
loop_
_symmetry_equiv_pos_as_xyz
'x,y,z'
loop_
_atom_site_label
_atom_site_type_symbol
_atom_site_fract_x
_atom_site_fract_y
_atom_site_fract_z
_atom_site_occupancy
Tc1 Tc 0.750 0.500 0.000 1
Tc2 Tc 0.250 0.500 0.000 1
Tc3 Tc 0.000 0.750 0.500 1
Tc4 Tc 0.000 0.250 0.500 1
Tc5 Tc 0.500 0.000 0.250 1
Tc6 Tc 0.500 0.000 0.750 1
As1 As 0.000 0.000 0.000 1
As2 As 0.500 0.500 0.500 1
```

Output
Space-group type: No. 223
Total magnetic moment: 0.000 μB/cell

Entry ii
Entry from Alexandria: Tc3As after structural relaxation (PBE).

Cell and atoms, written as CIF:
```
data_Tc3As
_symmetry_space_group_name_H-M 'P 1'
_symmetry_Int_Tables_number 1
_cell_length_a 4.041
_cell_length_b 2.831
_cell_length_c 5.409
_cell_angle_alpha 72.27
_cell_angle_beta 90.00
_cell_angle_gamma 90.00
loop_
_symmetry_equiv_pos_as_xyz
'x,y,z'
loop_
_atom_site_label
_atom_site_type_symbol
_atom_site_fract_x
_atom_site_fract_y
_atom_site_fract_z
_atom_site_occupancy
As1 As 0.000 0.000 0.000 1
Tc1 Tc 0.500 0.855 0.755 1
Tc2 Tc 0.000 0.500 0.500 1
Tc3 Tc 0.500 0.145 0.245 1
```

Output
Space-group type: No. 10
Total magnetic moment: 0.000 μB/cell

Which structure loses on stability? entry i does.

Entry i
Entry from Alexandria: Tc4As after structural relaxation (PBE).

Cell and atoms, written as CIF:
```
data_Tc4As
_symmetry_space_group_name_H-M 'P 1'
_symmetry_Int_Tables_number 1
_cell_length_a 4.480
_cell_length_b 4.480
_cell_length_c 4.480
_cell_angle_alpha 90.00
_cell_angle_beta 90.00
_cell_angle_gamma 90.00
loop_
_symmetry_equiv_pos_as_xyz
'x,y,z'
loop_
_atom_site_label
_atom_site_type_symbol
_atom_site_fract_x
_atom_site_fract_y
_atom_site_fract_z
_atom_site_occupancy
As1 As 0.500 0.500 0.500 1
Tc1 Tc 0.000 0.000 0.000 1
Tc2 Tc 0.500 0.000 0.500 1
Tc3 Tc 0.000 0.500 0.500 1
Tc4 Tc 0.500 0.500 0.000 1
```

Output
Space-group type: No. 221
Total magnetic moment: 1.619 μB/cell

Entry ii
Entry from Alexandria: Tc4As after structural relaxation (PBE).

Cell and atoms, written as CIF:
```
data_Tc4As
_symmetry_space_group_name_H-M 'P 1'
_symmetry_Int_Tables_number 1
_cell_length_a 4.840
_cell_length_b 4.840
_cell_length_c 4.840
_cell_angle_alpha 109.47
_cell_angle_beta 109.47
_cell_angle_gamma 109.47
loop_
_symmetry_equiv_pos_as_xyz
'x,y,z'
loop_
_atom_site_label
_atom_site_type_symbol
_atom_site_fract_x
_atom_site_fract_y
_atom_site_fract_z
_atom_site_occupancy
Tc1 Tc 0.500 0.000 0.000 1
Tc2 Tc 0.500 0.500 0.500 1
Tc3 Tc 0.000 0.500 0.000 1
Tc4 Tc 0.000 0.000 0.500 1
As1 As 0.000 0.000 0.000 1
```

Output
Space-group type: No. 229
Total magnetic moment: 0.000 μB/cell

Which structure loses on stability? entry i does.

Entry i
Entry from Alexandria: Tc2TeAs after structural relaxation (PBE).

Cell and atoms, written as CIF:
```
data_Tc2TeAs
_symmetry_space_group_name_H-M 'P 1'
_symmetry_Int_Tables_number 1
_cell_length_a 6.229
_cell_length_b 6.229
_cell_length_c 6.229
_cell_angle_alpha 149.65
_cell_angle_beta 144.72
_cell_angle_gamma 47.21
loop_
_symmetry_equiv_pos_as_xyz
'x,y,z'
loop_
_atom_site_label
_atom_site_type_symbol
_atom_site_fract_x
_atom_site_fract_y
_atom_site_fract_z
_atom_site_occupancy
As1 As 0.213 0.713 0.500 1
Te1 Te 0.456 0.456 0.000 1
Tc1 Tc 0.047 0.047 0.000 1
Tc2 Tc 0.784 0.284 0.500 1
```

Output
Space-group type: No. 44
Total magnetic moment: 0.000 μB/cell

Entry ii
Entry from Alexandria: Tc2TeAs after structural relaxation (PBE).

Cell and atoms, written as CIF:
```
data_Tc2TeAs
_symmetry_space_group_name_H-M 'P 1'
_symmetry_Int_Tables_number 1
_cell_length_a 8.043
_cell_length_b 8.043
_cell_length_c 8.043
_cell_angle_alpha 22.70
_cell_angle_beta 22.70
_cell_angle_gamma 22.70
loop_
_symmetry_equiv_pos_as_xyz
'x,y,z'
loop_
_atom_site_label
_atom_site_type_symbol
_atom_site_fract_x
_atom_site_fract_y
_atom_site_fract_z
_atom_site_occupancy
As1 As 0.750 0.750 0.750 1
Te1 Te 0.250 0.250 0.250 1
Tc1 Tc 0.006 0.006 0.006 1
Tc2 Tc 0.494 0.494 0.494 1
```

Output
Space-group type: No. 166
Total magnetic moment: 0.000 μB/cell

Entry iii
Entry from Alexandria: Tc2TeAs after structural relaxation (PBE).

Cell and atoms, written as CIF:
```
data_Tc2TeAs
_symmetry_space_group_name_H-M 'P 1'
_symmetry_Int_Tables_number 1
_cell_length_a 4.685
_cell_length_b 3.165
_cell_length_c 4.728
_cell_angle_alpha 90.00
_cell_angle_beta 90.00
_cell_angle_gamma 90.00
loop_
_symmetry_equiv_pos_as_xyz
'x,y,z'
loop_
_atom_site_label
_atom_site_type_symbol
_atom_site_fract_x
_atom_site_fract_y
_atom_site_fract_z
_atom_site_occupancy
As1 As 0.500 0.875 0.799 1
Te1 Te 0.000 0.375 0.482 1
Tc1 Tc 0.000 0.875 0.015 1
Tc2 Tc 0.500 0.375 0.204 1
```

Output
Space-group type: No. 25
Total magnetic moment: 0.000 μB/cell

Which structure loses on stability? entry ii does.